# MgBeP, optimized geometry, DFT PBE
data_MgBeP
_chemical_formula_sum 'Mg4 Be4 P4'
_cell_length_a 3.7329
_cell_length_b 4.2429
_cell_length_c 12.3508
_cell_angle_alpha 90.00
_cell_angle_beta 90.00
_cell_angle_gamma 90.00
_symmetry_space_group_name_H-M 'I m m m'
_symmetry_Int_Tables_number 71
_symmetry_space_group_name_Hall '-I 2 2'
loop_
_atom_site_label
_atom_site_type_symbol
_atom_site_fract_x
_atom_site_fract_y
_atom_site_fract_z
_atom_site_occupancy
Mg1 Mg 0.0000 0.0000 0.1442 1
Be1 Be 0.0000 0.2517 0.5000 1
P1 P 0.0000 0.0000 0.3553 1
# - formation enthalpy at 0 K (eV/atom) = -0.2192
# - ρ (g/cm3) = 2.18
# - excess energy over the best structure of this formula in the dataset (eV per atom) = 0.127
# - E_tot (eV per atom) = -3.80